1:
The following is a DFT calculation (PBE-GGA) of crystalline MgVTeN2 at its relaxed geometry.

Geometry as CIF:
```
data_MgVTeN2
_chemical_formula_sum 'Mg1 V1 Te1 N2'
_cell_length_a 3.934
_cell_length_b 3.934
_cell_length_c 5.477
_cell_angle_alpha 90.00
_cell_angle_beta 90.00
_cell_angle_gamma 90.00
_symmetry_space_group_name_H-M 'P 1'
_symmetry_Int_Tables_number 1
loop_
_symmetry_equiv_pos_as_xyz
'x,y,z'
loop_
_atom_site_label
_atom_site_fract_x
_atom_site_fract_y
_atom_site_fract_z
N1 0.000 0.500 0.000
N2 0.500 0.000 0.000
Mg1 0.000 0.000 0.000
Te1 0.000 0.000 0.500
V1 0.500 0.500 0.500
```

=====

2:
The following is a DFT calculation (PBE-GGA) of crystalline MgVTeN2 at its relaxed geometry.

Geometry as CIF:
```
data_MgVTeN2
_chemical_formula_sum 'Mg1 V1 Te1 N2'
_cell_length_a 3.854
_cell_length_b 3.854
_cell_length_c 5.583
_cell_angle_alpha 90.00
_cell_angle_beta 90.00
_cell_angle_gamma 90.00
_symmetry_space_group_name_H-M 'P 1'
_symmetry_Int_Tables_number 1
loop_
_symmetry_equiv_pos_as_xyz
'x,y,z'
loop_
_atom_site_label
_atom_site_fract_x
_atom_site_fract_y
_atom_site_fract_z
N1 0.000 0.500 0.000
N2 0.500 0.000 0.000
Mg1 0.500 0.500 0.500
Te1 0.000 0.000 0.500
V1 0.000 0.000 0.000
```

=====

Stability ranking, top and bottom: 2 is the most stable and 1 is the least stable.

=====

1:
The following is a DFT calculation (PBE-GGA) of crystalline MgZnTe2N at its relaxed geometry.

Geometry as CIF:
```
data_MgZnTe2N
_chemical_formula_sum 'Mg1 Zn1 Te2 N1'
_cell_length_a 5.743
_cell_length_b 5.743
_cell_length_c 3.631
_cell_angle_alpha 90.00
_cell_angle_beta 90.00
_cell_angle_gamma 90.00
_symmetry_space_group_name_H-M 'P 1'
_symmetry_Int_Tables_number 1
loop_
_symmetry_equiv_pos_as_xyz
'x,y,z'
loop_
_atom_site_label
_atom_site_fract_x
_atom_site_fract_y
_atom_site_fract_z
Zn1 0.000 0.000 0.000
Te1 0.000 0.500 0.000
Te2 0.500 0.000 0.000
Mg1 0.500 0.500 0.500
N1 0.000 0.000 0.500
```

=====

2:
The following is a DFT calculation (PBE-GGA) of crystalline MgZnTe2N at its relaxed geometry.

Geometry as CIF:
```
data_MgZnTe2N
_chemical_formula_sum 'Mg1 Zn1 Te2 N1'
_cell_length_a 5.700
_cell_length_b 5.700
_cell_length_c 3.872
_cell_angle_alpha 90.00
_cell_angle_beta 90.00
_cell_angle_gamma 90.00
_symmetry_space_group_name_H-M 'P 1'
_symmetry_Int_Tables_number 1
loop_
_symmetry_equiv_pos_as_xyz
'x,y,z'
loop_
_atom_site_label
_atom_site_fract_x
_atom_site_fract_y
_atom_site_fract_z
Zn1 0.500 0.500 0.500
Te1 0.000 0.500 0.000
Te2 0.500 0.000 0.000
Mg1 0.000 0.000 0.000
N1 0.000 0.000 0.500
```

=====

Stability ranking, top and bottom: 1 is the most stable and 2 is the least stable.

=====

1:
The following is a DFT calculation (PBE-GGA) of crystalline Y2MgTiN at its relaxed geometry.

Geometry as CIF:
```
data_Y2MgTiN
_chemical_formula_sum 'Y2 Mg1 Ti1 N1'
_cell_length_a 4.860
_cell_length_b 4.430
_cell_length_c 4.860
_cell_angle_alpha 90.00
_cell_angle_beta 90.00
_cell_angle_gamma 90.00
_symmetry_space_group_name_H-M 'P 1'
_symmetry_Int_Tables_number 1
loop_
_symmetry_equiv_pos_as_xyz
'x,y,z'
loop_
_atom_site_label
_atom_site_fract_x
_atom_site_fract_y
_atom_site_fract_z
Y1 0.000 0.000 0.500
Y2 0.500 0.000 0.000
Mg1 0.000 0.500 0.000
N1 0.000 0.000 0.000
Ti1 0.500 0.500 0.500
```

=====

2:
The following is a DFT calculation (PBE-GGA) of crystalline Y2MgTiN at its relaxed geometry.

Geometry as CIF:
```
data_Y2MgTiN
_chemical_formula_sum 'Y2 Mg1 Ti1 N1'
_cell_length_a 5.032
_cell_length_b 5.032
_cell_length_c 4.065
_cell_angle_alpha 90.00
_cell_angle_beta 90.00
_cell_angle_gamma 90.00
_symmetry_space_group_name_H-M 'P 1'
_symmetry_Int_Tables_number 1
loop_
_symmetry_equiv_pos_as_xyz
'x,y,z'
loop_
_atom_site_label
_atom_site_fract_x
_atom_site_fract_y
_atom_site_fract_z
Y1 0.000 0.500 0.000
Y2 0.500 0.000 0.000
Mg1 0.500 0.500 0.500
N1 0.000 0.000 0.000
Ti1 0.000 0.000 0.500
```

=====

Stability ranking, top and bottom: 2 is the most stable and 1 is the least stable.

=====

1:
The following is a DFT calculation (PBE-GGA) of crystalline MgTl3N at its relaxed geometry.

Geometry as CIF:
```
data_MgTl3N
_chemical_formula_sum 'Mg1 Tl3 N1'
_cell_length_a 5.452
_cell_length_b 5.452
_cell_length_c 5.452
_cell_angle_alpha 90.00
_cell_angle_beta 90.00
_cell_angle_gamma 90.00
_symmetry_space_group_name_H-M 'P 1'
_symmetry_Int_Tables_number 1
loop_
_symmetry_equiv_pos_as_xyz
'x,y,z'
loop_
_atom_site_label
_atom_site_fract_x
_atom_site_fract_y
_atom_site_fract_z
Tl1 0.000 0.500 0.000
Tl2 0.000 0.000 0.500
Tl3 0.500 0.000 0.000
Mg1 0.000 0.000 0.000
N1 0.500 0.500 0.500
```

=====

2:
The following is a DFT calculation (PBE-GGA) of crystalline MgTl3N at its relaxed geometry.

Geometry as CIF:
```
data_MgTl3N
_chemical_formula_sum 'Mg1 Tl3 N1'
_cell_length_a 5.028
_cell_length_b 5.028
_cell_length_c 5.028
_cell_angle_alpha 90.00
_cell_angle_beta 90.00
_cell_angle_gamma 90.00
_symmetry_space_group_name_H-M 'P 1'
_symmetry_Int_Tables_number 1
loop_
_symmetry_equiv_pos_as_xyz
'x,y,z'
loop_
_atom_site_label
_atom_site_fract_x
_atom_site_fract_y
_atom_site_fract_z
Tl1 0.000 0.500 0.000
Tl2 0.000 0.000 0.500
Tl3 0.500 0.000 0.000
Mg1 0.500 0.500 0.500
N1 0.000 0.000 0.000
```

=====

Stability ranking, top and bottom: 2 is the most stable and 1 is the least stable.

=====

1:
The following is a DFT calculation (PBE-GGA) of crystalline Mg2TlN at its relaxed geometry.

Geometry as CIF:
```
data_Mg2TlN
_chemical_formula_sum 'Mg2 Tl1 N1'
_cell_length_a 4.665
_cell_length_b 4.665
_cell_length_c 4.665
_cell_angle_alpha 60.00
_cell_angle_beta 60.00
_cell_angle_gamma 60.00
_symmetry_space_group_name_H-M 'P 1'
_symmetry_Int_Tables_number 1
loop_
_symmetry_equiv_pos_as_xyz
'x,y,z'
loop_
_atom_site_label
_atom_site_fract_x
_atom_site_fract_y
_atom_site_fract_z
Tl1 0.500 0.500 0.500
Mg1 0.250 0.250 0.250
Mg2 0.750 0.750 0.750
N1 0.000 0.000 0.000
```

=====

2:
The following is a DFT calculation (PBE-GGA) of crystalline Mg2TlN at its relaxed geometry.

Geometry as CIF:
```
data_Mg2TlN
_chemical_formula_sum 'Mg4 Tl2 N2'
_cell_length_a 6.275
_cell_length_b 6.275
_cell_length_c 6.227
_cell_angle_alpha 59.75
_cell_angle_beta 59.75
_cell_angle_gamma 90.00
_symmetry_space_group_name_H-M 'P 1'
_symmetry_Int_Tables_number 1
loop_
_symmetry_equiv_pos_as_xyz
'x,y,z'
loop_
_atom_site_label
_atom_site_fract_x
_atom_site_fract_y
_atom_site_fract_z
Tl1 0.000 0.000 0.000
Tl2 0.750 0.250 0.500
Mg1 0.459 0.125 0.250
Mg2 0.291 0.625 0.250
Mg3 0.375 0.541 0.750
Mg4 0.875 0.709 0.750
N1 0.500 0.500 0.000
N2 0.250 0.750 0.500
```

=====

Stability ranking, top and bottom: 2 is the most stable and 1 is the least stable.

=====

1:
The following is a DFT calculation (PBE-GGA) of crystalline Mg3TlN at its relaxed geometry.

Geometry as CIF:
```
data_Mg3TlN
_chemical_formula_sum 'Mg3 Tl1 N1'
_cell_length_a 4.409
_cell_length_b 4.409
_cell_length_c 4.409
_cell_angle_alpha 90.00
_cell_angle_beta 90.00
_cell_angle_gamma 90.00
_symmetry_space_group_name_H-M 'P 1'
_symmetry_Int_Tables_number 1
loop_
_symmetry_equiv_pos_as_xyz
'x,y,z'
loop_
_atom_site_label
_atom_site_fract_x
_atom_site_fract_y
_atom_site_fract_z
Tl1 0.500 0.500 0.500
Mg1 0.000 0.500 0.000
Mg2 0.000 0.000 0.500
Mg3 0.500 0.000 0.000
N1 0.000 0.000 0.000
```

=====

2:
The following is a DFT calculation (PBE-GGA) of crystalline Mg3TlN at its relaxed geometry.

Geometry as CIF:
```
data_Mg3TlN
_chemical_formula_sum 'Mg3 Tl1 N1'
_cell_length_a 5.319
_cell_length_b 5.319
_cell_length_c 5.319
_cell_angle_alpha 90.00
_cell_angle_beta 90.00
_cell_angle_gamma 90.00
_symmetry_space_group_name_H-M 'P 1'
_symmetry_Int_Tables_number 1
loop_
_symmetry_equiv_pos_as_xyz
'x,y,z'
loop_
_atom_site_label
_atom_site_fract_x
_atom_site_fract_y
_atom_site_fract_z
Tl1 0.000 0.000 0.000
Mg1 0.000 0.500 0.000
Mg2 0.000 0.000 0.500
Mg3 0.500 0.000 0.000
N1 0.500 0.500 0.500
```

=====

Stability ranking, top and bottom: 1 is the most stable and 2 is the least stable.